DFT (PBE-GGA) results for a relaxed structure of MgU2H8.

The space group is Immm (No. 71) and the conventional cell measures 3.709, 4.727 and 11.000 Å, with angles of 90.00, 90.00 and 90.00 degrees. Symmetry generates all atoms from Mg at (0.000, 0.000, 0.000), U at (0.000, 0.000, 0.328), H at (0.000, 0.245, 0.149), H at (0.000, 0.248, 0.500) and H at (0.000, 0.500, 0.305).

Its total energy is -107.5 eV for the cell shown. The crystal system is orthorhombic. Its total magnetic moment is 10.1 μB/cell.



DFT (PBE-GGA) results for a relaxed structure of MgVH.

The space group is F-43m (No. 216) and the conventional cell measures 6.068, 6.068 and 6.068 Å, with angles of 90.00, 90.00 and 90.00 degrees. Symmetry generates all atoms from Mg at (0.000, 0.000, 0.000), V at (0.250, 0.250, 0.250) and H at (0.000, 0.000, 0.500).

Its total energy is -39.3 eV for the cell shown. The crystal system is cubic. Its total magnetic moment is 14.4 μB/cell. Its energy above the most stable polymorph in this dataset is 1443 meV/atom.



DFT (PBE-GGA) results for a relaxed structure of MgVH.

The space group is P-1 (No. 2) and the conventional cell measures 2.832, 4.618 and 5.575 Å, with angles of 90.02, 98.39 and 96.34 degrees. Symmetry generates all atoms from Mg at (0.174, 0.239, 0.377), V at (0.367, 0.772, 0.090) and H at (0.180, 0.476, 0.859).

Its total energy is -27.8 eV for the cell shown. The crystal system is triclinic. Its total magnetic moment is 0.0 μB/cell. Its energy above the most stable polymorph in this dataset is 76 meV/atom.



DFT (PBE-GGA) results for a relaxed structure of MgVH.

The space group is P4/mmm (No. 123) and the conventional cell measures 2.731, 2.731 and 4.632 Å, with angles of 90.00, 90.00 and 90.00 degrees. Symmetry generates all atoms from Mg at (0.000, 0.000, 0.000), V at (0.500, 0.500, 0.500) and H at (0.000, 0.000, 0.500).

Its total energy is -13.9 eV for the cell shown. The crystal system is tetragonal. Its total magnetic moment is 0.0 μB/cell. Its energy above the most stable polymorph in this dataset is 94 meV/atom.



What did the fourth record say?
DFT (PBE-GGA) results for a relaxed structure of MgVH.

The space group is P4/mmm (No. 123) and the conventional cell measures 2.731, 2.731 and 4.632 Å, with angles of 90.00, 90.00 and 90.00 degrees. Symmetry generates all atoms from Mg at (0.000, 0.000, 0.000), V at (0.500, 0.500, 0.500) and H at (0.000, 0.000, 0.500).

Its total energy is -13.9 eV for the cell shown. The crystal system is tetragonal. Its total magnetic moment is 0.0 μB/cell. Its energy above the most stable polymorph in this dataset is 94 meV/atom.



- Among the records above, which one has the highest total energy?
  number 4



- Look up the total energy of the second one.
  -39.3 eV for the cell shown



- total magnetic moment of number 2 (MgVH)?
  14.4 μB/cell